! PBE-GGA Hf2ZrNi4Bi2Sb2, relaxed; values from VASP
&SYSTEM
  ibrav = 0, nat = 11, ntyp = 5
/
ATOMIC_SPECIES
Hf 178.49 Hf.upf
Zr 91.22 Zr.upf
Ni 58.69 Ni.upf
Bi 208.98 Bi.upf
Sb 121.76 Sb.upf
CELL_PARAMETERS angstrom
-3.071 3.071 6.126
3.071 -3.071 6.126
3.071 3.071 -6.126
ATOMIC_POSITIONS crystal
Hf 0.250 0.750 0.500
Hf 0.750 0.250 0.500
Zr 0.000 0.000 0.000
Ni 0.105 0.105 0.478
Ni 0.374 0.895 0.000
Ni 0.626 0.626 0.522
Ni 0.895 0.374 0.000
Bi 0.000 0.500 0.500
Bi 0.500 0.000 0.500
Sb 0.262 0.262 0.000
Sb 0.738 0.738 0.000
! * theoretical density: 9.66 g/cm³
! * space group: I-42m, No. 121
! * energy above the most stable polymorph in this dataset: 0 kJ/mol of formula units
! * volume: 21.01 Å³ per atom

! PBE-GGA HfScNiBi, relaxed; values from VASP
&SYSTEM
  ibrav = 0, nat = 16, ntyp = 4
/
ATOMIC_SPECIES
Hf 178.49 Hf.upf
Sc 44.96 Sc.upf
Ni 58.69 Ni.upf
Bi 208.98 Bi.upf
CELL_PARAMETERS angstrom
6.875 0.000 0.000
0.000 6.875 0.000
0.000 0.000 6.875
ATOMIC_POSITIONS crystal
Hf 0.000 0.000 0.000
Hf 0.000 0.500 0.500
Hf 0.500 0.000 0.500
Hf 0.500 0.500 0.000
Sc 0.250 0.250 0.250
Sc 0.250 0.750 0.750
Sc 0.750 0.250 0.750
Sc 0.750 0.750 0.250
Ni 0.250 0.250 0.750
Ni 0.250 0.750 0.250
Ni 0.750 0.250 0.250
Ni 0.750 0.750 0.750
Bi 0.000 0.000 0.500
Bi 0.000 0.500 0.000
Bi 0.500 0.000 0.000
Bi 0.500 0.500 0.500
! * theoretical density: 10.04 g/cm³
! * space group: F-43m, No. 216
! * energy above the most stable polymorph in this dataset: 0 kJ/mol of formula units
! * volume: 20.31 Å³ per atom

! PBE-GGA HfTaNiBi, relaxed; values from VASP
&SYSTEM
  ibrav = 0, nat = 16, ntyp = 4
/
ATOMIC_SPECIES
Hf 178.49 Hf.upf
Ta 180.95 Ta.upf
Ni 58.69 Ni.upf
Bi 208.98 Bi.upf
CELL_PARAMETERS angstrom
6.756 0.000 0.000
0.000 6.756 0.000
0.000 0.000 6.756
ATOMIC_POSITIONS crystal
Hf 0.000 0.000 0.000
Hf 0.000 0.500 0.500
Hf 0.500 0.000 0.500
Hf 0.500 0.500 0.000
Ta 0.250 0.250 0.250
Ta 0.250 0.750 0.750
Ta 0.750 0.250 0.750
Ta 0.750 0.750 0.250
Ni 0.250 0.250 0.750
Ni 0.250 0.750 0.250
Ni 0.750 0.250 0.250
Ni 0.750 0.750 0.750
Bi 0.000 0.000 0.500
Bi 0.000 0.500 0.000
Bi 0.500 0.000 0.000
Bi 0.500 0.500 0.500
! * theoretical density: 13.51 g/cm³
! * space group: F-43m, No. 216
! * energy above the most stable polymorph in this dataset: 0 kJ/mol of formula units
! * volume: 19.27 Å³ per atom

! PBE-GGA Tm3Hf3NiBi2, relaxed; values from VASP
&SYSTEM
  ibrav = 0, nat = 9, ntyp = 4
/
ATOMIC_SPECIES
Tm 168.93 Tm.upf
Hf 178.49 Hf.upf
Ni 58.69 Ni.upf
Bi 208.98 Bi.upf
CELL_PARAMETERS angstrom
8.166 0.000 0.000
-4.083 7.072 0.000
0.000 0.000 3.684
ATOMIC_POSITIONS crystal
Tm 0.000 0.756 0.000
Tm 0.244 0.244 0.000
Tm 0.756 0.000 0.000
Hf 0.000 0.395 0.500
Hf 0.395 0.000 0.500
Hf 0.605 0.605 0.500
Ni 0.000 0.000 0.500
Bi 0.333 0.667 0.000
Bi 0.667 0.333 0.000
! * theoretical density: 11.85 g/cm³
! * space group: P-62m, No. 189
! * energy above the most stable polymorph in this dataset: 154 kJ/mol of formula units
! * volume: 23.64 Å³ per atom